No. 1
## Mg2Sn (PBEsol)

Data for a geometry-optimized Mg2Sn structure.

## Properties
E_tot (eV/cell): -24.8

CIF file:
```
data_Mg2Sn
_chemical_formula_sum 'Mg6 Sn3'
_symmetry_space_group_name_H-M 'P -6 2 m'
_symmetry_Int_Tables_number 189
_symmetry_space_group_name_Hall 'P -6 -2'
_cell_length_a 7.5413
_cell_length_b 7.5413
_cell_length_c 4.2842
_cell_angle_alpha 90.00
_cell_angle_beta 90.00
_cell_angle_gamma 120.00
loop_
_atom_site_label
_atom_site_fract_x
_atom_site_fract_y
_atom_site_fract_z
Mg1 0.0000 0.2569 0.0000
Mg2 0.0000 0.5964 0.5000
Sn1 0.0000 0.0000 0.5000
Sn2 0.3333 0.6667 0.0000
```

=====

No. 2
## LaIn2Re (PBEsol)

Data for a geometry-optimized LaIn2Re structure.

## Properties
E above lowest polymorph (meV/atom): 220.5

CIF file:
```
data_LaIn2Re
_chemical_formula_sum 'La3 In6 Re3'
_symmetry_space_group_name_H-M 'R 3 m'
_symmetry_Int_Tables_number 160
_symmetry_space_group_name_Hall 'R 3 -2"'
_cell_length_a 3.3070
_cell_length_b 3.3070
_cell_length_c 29.3691
_cell_angle_alpha 90.00
_cell_angle_beta 90.00
_cell_angle_gamma 120.00
loop_
_atom_site_label
_atom_site_fract_x
_atom_site_fract_y
_atom_site_fract_z
La1 0.0000 0.0000 0.0000
In1 0.0000 0.0000 0.5240
In2 0.0000 0.0000 0.7700
Re1 0.0000 0.0000 0.2607
```